Entry 1:
# SrRu

An optimized crystal structure of SrRu (PBE-GGA, Alexandria).

Results
- N(E_F) (states/eV/f.u.) = 3.56
- total moment (μB/cell) = 0.29
- V (Å³/cell) = 46
- uncorrected energy (eV/atom) = -4.48
- energy of formation (eV per atom) = 0.998

CIF file:
```
data_SrRu
_symmetry_space_group_name_H-M 'P -6 m 2'
_symmetry_Int_Tables_number 187
_symmetry_space_group_name_Hall 'P -6 2'
_cell_length_a 3.3445
_cell_length_b 3.3445
_cell_length_c 4.7407
_cell_angle_alpha 90.00
_cell_angle_beta 90.00
_cell_angle_gamma 120.00
loop_
_atom_site_label
_atom_site_fract_x
_atom_site_fract_y
_atom_site_fract_z
Sr1 0.0000 0.0000 0.0000
Ru1 0.3333 0.6667 0.5000
```


Entry 2:
# LaPm6Pr8

An optimized crystal structure of LaPm6Pr8 (PBE-GGA, Alexandria).

Results
- N(E_F) (states/eV/f.u.) = 23.31
- total moment (μB/cell) = 0.00
- V (Å³/cell) = 1619
- uncorrected energy (eV/atom) = -4.64
- energy of formation (eV per atom) = 0.140

CIF file:
```
data_LaPm6Pr8
_symmetry_space_group_name_H-M 'R -3'
_symmetry_Int_Tables_number 148
_symmetry_space_group_name_Hall '-R 3'
_cell_length_a 9.5625
_cell_length_b 9.5625
_cell_length_c 20.4392
_cell_angle_alpha 90.00
_cell_angle_beta 90.00
_cell_angle_gamma 120.00
loop_
_atom_site_label
_atom_site_fract_x
_atom_site_fract_y
_atom_site_fract_z
La1 0.0000 0.0000 0.0000
Pm1 0.0431 0.2475 0.6903
Pr1 0.0000 0.0000 0.4271
Pr2 0.0641 0.2460 0.1635
```


Entry 3:
# Li2CaCr

An optimized crystal structure of Li2CaCr (PBE-GGA, Alexandria).

Results
- N(E_F) (states/eV/f.u.) = 2.52
- total moment (μB/cell) = 18.63
- V (Å³/cell) = 401
- uncorrected energy (eV/atom) = -3.32
- energy of formation (eV per atom) = 0.540

CIF file:
```
data_Li2CaCr
_symmetry_space_group_name_H-M 'I -4 2 d'
_symmetry_Int_Tables_number 122
_symmetry_space_group_name_Hall 'I -4 2bw'
_cell_length_a 4.319
_cell_length_b 4.319
_cell_length_c 21.509
_cell_angle_alpha 90.00
_cell_angle_beta 90.00
_cell_angle_gamma 90.00
loop_
_atom_site_label
_atom_site_fract_x
_atom_site_fract_y
_atom_site_fract_z
Li1 0.199 0.250 0.125
Ca1 0.000 0.000 0.500
Cr1 0.000 0.000 0.000
```


Entry 4:
# CrAg2Ir

An optimized crystal structure of CrAg2Ir (PBE-GGA, Alexandria).

Results
- N(E_F) (states/eV/f.u.) = 5.81
- total moment (μB/cell) = 0.00
- V (Å³/cell) = 247
- uncorrected energy (eV/atom) = -5.22
- energy of formation (eV per atom) = 0.829

CIF file:
```
data_CrAg2Ir
_symmetry_space_group_name_H-M 'F m -3 m'
_symmetry_Int_Tables_number 225
_symmetry_space_group_name_Hall '-F 4 2 3'
_cell_length_a 6.277
_cell_length_b 6.277
_cell_length_c 6.277
_cell_angle_alpha 90.00
_cell_angle_beta 90.00
_cell_angle_gamma 90.00
loop_
_atom_site_label
_atom_site_fract_x
_atom_site_fract_y
_atom_site_fract_z
Cr1 0.000 0.000 0.000
Ag1 0.250 0.250 0.250
Ir1 0.000 0.000 0.500
```


Entry 5:
# Ca2NF

An optimized crystal structure of Ca2NF (PBE-GGA, Alexandria).

Results
- N(E_F) (states/eV/f.u.) = 0.00
- total moment (μB/cell) = 0.00
- V (Å³/cell) = 194
- uncorrected energy (eV/atom) = -5.53
- ΔE_f (raw) (eV/f.u.) = -7.92

CIF file:
```
data_Ca2NF
_symmetry_space_group_name_H-M 'R 3 m'
_symmetry_Int_Tables_number 160
_symmetry_space_group_name_Hall 'R 3 -2"'
_cell_length_a 3.4971
_cell_length_b 3.4971
_cell_length_c 18.2976
_cell_angle_alpha 90.00
_cell_angle_beta 90.00
_cell_angle_gamma 120.00
loop_
_atom_site_label
_atom_site_fract_x
_atom_site_fract_y
_atom_site_fract_z
Ca1 0.0000 0.0000 0.0000
Ca2 0.0000 0.0000 0.1936
N1 0.0000 0.0000 0.5979
F1 0.0000 0.0000 0.7713
```


Entry 6:
# PmZn2Pt2

An optimized crystal structure of PmZn2Pt2 (PBE-GGA, Alexandria).

Results
- N(E_F) (states/eV/f.u.) = 1.91
- total moment (μB/cell) = 0.00
- V (Å³/cell) = 190
- uncorrected energy (eV/atom) = -4.63
- energy of formation (eV per atom) = -0.755

CIF file:
```
data_PmZn2Pt2
_symmetry_space_group_name_H-M 'P 1 21/m 1'
_symmetry_Int_Tables_number 11
_cell_length_a 4.825
_cell_length_b 4.601
_cell_length_c 8.616
_cell_angle_alpha 90.00
_cell_angle_beta 97.05
_cell_angle_gamma 90.00
loop_
_symmetry_equiv_pos_as_xyz
'x,y,z'
'-x,-y,-z'
'-x,y+1/2,-z'
'x,-y+1/2,z'
loop_
_atom_site_label
_atom_site_fract_x
_atom_site_fract_y
_atom_site_fract_z
Pm1 0.216 0.250 0.264
Zn1 0.324 0.250 0.635
Zn2 0.341 0.750 0.004
Pt1 0.138 0.250 0.900
Pt2 0.201 0.750 0.494
```


Entry 7:
# DyTmScOs

An optimized crystal structure of DyTmScOs (PBE-GGA, Alexandria).

Results
- N(E_F) (states/eV/f.u.) = 3.67
- total moment (μB/cell) = 0.00
- V (Å³/cell) = 352
- uncorrected energy (eV/atom) = -6.68
- energy of formation (eV per atom) = -0.024

CIF file:
```
data_DyTmScOs
_symmetry_space_group_name_H-M 'F -4 3 m'
_symmetry_Int_Tables_number 216
_symmetry_space_group_name_Hall 'F -4 2 3'
_cell_length_a 7.063
_cell_length_b 7.063
_cell_length_c 7.063
_cell_angle_alpha 90.00
_cell_angle_beta 90.00
_cell_angle_gamma 90.00
loop_
_atom_site_label
_atom_site_fract_x
_atom_site_fract_y
_atom_site_fract_z
Dy1 0.000 0.000 0.000
Tm1 0.000 0.000 0.500
Sc1 0.250 0.250 0.250
Os1 0.250 0.250 0.750
```


Entry 8:
# AgIr3

An optimized crystal structure of AgIr3 (PBE-GGA, Alexandria).

Results
- N(E_F) (states/eV/f.u.) = 4.12
- total moment (μB/cell) = 0.00
- V (Å³/cell) = 183
- uncorrected energy (eV/atom) = -7.16
- energy of formation (eV per atom) = 0.195

CIF file:
```
data_AgIr3
_symmetry_space_group_name_H-M 'R -3 m'
_symmetry_Int_Tables_number 166
_symmetry_space_group_name_Hall '-R 3 2"'
_cell_length_a 2.7692
_cell_length_b 2.7692
_cell_length_c 27.4861
_cell_angle_alpha 90.00
_cell_angle_beta 90.00
_cell_angle_gamma 120.00
loop_
_atom_site_label
_atom_site_fract_x
_atom_site_fract_y
_atom_site_fract_z
Ag1 0.0000 0.0000 0.0000
Ir1 0.0000 0.0000 0.2456
Ir2 0.0000 0.0000 0.5000
```


Entry 9:
# Na2NdIrO4

An optimized crystal structure of Na2NdIrO4 (PBE-GGA, Alexandria).

Results
- N(E_F) (states/eV/f.u.) = 5.02
- total moment (μB/cell) = 4.02
- V (Å³/cell) = 227
- uncorrected energy (eV/atom) = -6.23
- ΔE_f (raw) (eV/f.u.) = -13.77

CIF file:
```
data_Na2NdIrO4
_symmetry_space_group_name_H-M 'I -4'
_symmetry_Int_Tables_number 82
_cell_length_a 5.882
_cell_length_b 5.882
_cell_length_c 6.568
_cell_angle_alpha 90.00
_cell_angle_beta 90.00
_cell_angle_gamma 90.00
loop_
_symmetry_equiv_pos_as_xyz
'x,y,z'
'y,-x,-z'
'-x,-y,z'
'-y,x,-z'
'x+1/2,y+1/2,z+1/2'
'y+1/2,-x+1/2,-z+1/2'
'-x+1/2,-y+1/2,z+1/2'
'-y+1/2,x+1/2,-z+1/2'
loop_
_atom_site_label
_atom_site_fract_x
_atom_site_fract_y
_atom_site_fract_z
Na1 0.000 0.000 0.000
Na2 0.000 0.500 0.250
Nd1 0.000 0.500 0.750
Ir1 0.000 0.000 0.500
O1 0.191 0.725 0.504
```


Entry 10:
# KGa2TeSe6

An optimized crystal structure of KGa2TeSe6 (PBE-GGA, Alexandria).

Results
- N(E_F) (states/eV/f.u.) = 4.01
- total moment (μB/cell) = 0.00
- V (Å³/cell) = 1197
- uncorrected energy (eV/atom) = -3.48
- ΔE_f (raw) (eV/f.u.) = -3.60

CIF file:
```
data_KGa2TeSe6
_symmetry_space_group_name_H-M 'C 1 2/c 1'
_symmetry_Int_Tables_number 15
_cell_length_a 12.312
_cell_length_b 13.435
_cell_length_c 7.280
_cell_angle_alpha 90.00
_cell_angle_beta 96.20
_cell_angle_gamma 90.00
loop_
_symmetry_equiv_pos_as_xyz
'x,y,z'
'-x,-y,-z'
'-x,y,-z+1/2'
'x,-y,z+1/2'
'x+1/2,y+1/2,z'
'-x+1/2,-y+1/2,-z'
'-x+1/2,y+1/2,-z+1/2'
'x+1/2,-y+1/2,z+1/2'
loop_
_atom_site_label
_atom_site_fract_x
_atom_site_fract_y
_atom_site_fract_z
K1 0.000 0.053 0.250
Ga1 0.190 0.411 0.206
Te1 0.000 0.269 0.750
Se1 0.128 0.250 0.091
Se2 0.137 0.144 0.609
Se3 0.156 0.436 0.537
```


Entry 11:
# DyFeGe3

An optimized crystal structure of DyFeGe3 (PBE-GGA, Alexandria).

Results
- N(E_F) (states/eV/f.u.) = 2.84
- total moment (μB/cell) = 1.62
- V (Å³/cell) = 185
- uncorrected energy (eV/atom) = -5.77
- energy of formation (eV per atom) = -0.390

CIF file:
```
data_DyFeGe3
_symmetry_space_group_name_H-M 'P m n 21'
_symmetry_Int_Tables_number 31
_cell_length_a 6.018
_cell_length_b 5.516
_cell_length_c 5.586
_cell_angle_alpha 90.00
_cell_angle_beta 90.00
_cell_angle_gamma 90.00
loop_
_symmetry_equiv_pos_as_xyz
'x,y,z'
'-x+1/2,-y,z+1/2'
'-x,y,z'
'x+1/2,-y,z+1/2'
loop_
_atom_site_label
_atom_site_fract_x
_atom_site_fract_y
_atom_site_fract_z
Dy1 0.000 0.131 0.000
Fe1 0.000 0.618 0.252
Ge1 0.000 0.912 0.533
Ge2 0.235 0.351 0.455
```


Entry 12:
# SmTmGe

An optimized crystal structure of SmTmGe (PBE-GGA, Alexandria).

Results
- N(E_F) (states/eV/f.u.) = 4.08
- total moment (μB/cell) = 0.00
- V (Å³/cell) = 149
- uncorrected energy (eV/atom) = -4.99
- energy of formation (eV per atom) = -0.386

CIF file:
```
data_SmTmGe
_symmetry_space_group_name_H-M 'I 4 m m'
_symmetry_Int_Tables_number 107
_symmetry_space_group_name_Hall 'I 4 -2'
_cell_length_a 3.876
_cell_length_b 3.876
_cell_length_c 9.900
_cell_angle_alpha 90.00
_cell_angle_beta 90.00
_cell_angle_gamma 90.00
loop_
_atom_site_label
_atom_site_fract_x
_atom_site_fract_y
_atom_site_fract_z
Sm1 0.000 0.000 0.000
Tm1 0.000 0.000 0.702
Ge1 0.000 0.000 0.336
```